No. 1
KCuTcTe3 | PBE | optimized geometry

```
12
Lattice="1.9728 -7.9564 0.0000 1.9728 7.9564 0.0000 0.0000 0.0000 10.4910" Properties=species:S:1:pos:R:3 pbc="T T T"
K 1.9728 4.1281 7.8682
K 1.9728 -4.1281 2.6227
Cu 1.9728 0.6044 2.6227
Cu 1.9728 -0.6044 7.8682
Tc 0.0000 0.0000 0.0000
Tc 0.0000 0.0000 5.2455
Te 1.9728 6.8692 2.6227
Te 1.9728 1.9001 0.4051
Te 1.9728 1.9001 4.8404
Te 1.9728 -1.9001 5.6506
Te 1.9728 -1.9001 10.0859
Te 1.9728 -6.8692 7.8682
```

Polymorph energy (0 for the lowest one), eV/atom: 0.054
Space group: No. 63
Total magnetization, μB/f.u.: 2.217

=====

No. 2
KCuTcTe3 | PBE | optimized geometry

```
24
Lattice="12.8880 0.0000 0.0000 0.0000 4.0135 0.0000 0.0000 0.0000 12.6012" Properties=species:S:1:pos:R:3 pbc="T T T"
K 2.0818 1.0034 0.1980
K 4.3622 3.0102 6.4986
K 8.5258 1.0034 6.1026
K 10.8063 3.0102 12.4032
Cu 3.1805 1.0034 8.8229
Cu 3.2635 3.0102 2.5223
Cu 9.6246 1.0034 10.0790
Cu 9.7075 3.0102 3.7783
Tc 0.4283 1.0034 4.4354
Tc 6.0157 3.0102 10.7360
Tc 6.8723 1.0034 1.8652
Tc 12.4598 3.0102 8.1658
Te 0.4699 3.0102 2.5884
Te 1.1485 1.0034 7.1218
Te 3.1008 1.0034 4.0670
Te 3.3433 3.0102 10.3676
Te 5.2955 3.0102 0.8212
Te 5.9742 1.0034 8.8890
Te 6.9139 3.0102 3.7122
Te 7.5925 1.0034 11.7800
Te 9.5448 1.0034 2.2336
Te 9.7873 3.0102 8.5342
Te 11.7395 3.0102 5.4794
Te 12.4182 1.0034 10.0128
```

Polymorph energy (0 for the lowest one), eV/atom: 0.133
Space group: No. 62
Total magnetization, μB/f.u.: 0.004

=====

No. 3
KCuTe | PBE | optimized geometry

```
9
Lattice="8.4934 0.0000 0.0000 -4.2467 7.3555 0.0000 0.0000 0.0000 4.3716" Properties=species:S:1:pos:R:3 pbc="T T T"
K -1.1842 2.0511 0.0000
K 2.3684 0.0000 0.0000
K 3.0625 5.3045 0.0000
Cu -2.8010 4.8515 2.1858
Cu 1.4457 2.5040 2.1858
Cu 5.6021 0.0000 2.1858
Te 0.0000 0.0000 2.1858
Te 0.0000 4.9037 0.0000
Te 4.2467 2.4518 0.0000
```

VASP energy, eV/atom: -2.542
Space group: No. 189